Entry 1:
Compound: K3Dy3GeSe8
Source: the Alexandria database
Functional: PBE
Structure: optimized geometry Values from VASP.

Geometry as Quantum ESPRESSO input:
```
&SYSTEM
  ibrav = 0, nat = 15, ntyp = 4
/
ATOMIC_SPECIES
Dy 162.50 Dy.upf
Se 78.96 Se.upf
K 39.10 K.upf
Ge 72.64 Ge.upf
CELL_PARAMETERS angstrom
-7.1322 -1.1779 3.9011
2.1970 -4.9984 -6.1406
4.5124 -1.0165 7.9429
ATOMIC_POSITIONS angstrom
Dy -1.3099 -1.0972 5.9220
Se -2.9484 -4.0396 2.0380
Se 2.5256 -3.1531 3.6654
Se 3.7015 -5.8282 0.3787
K 0.0000 0.0000 0.0000
Se -0.3068 -0.7340 3.2367
Se -0.1160 -6.4587 2.4667
K 1.0985 -2.4992 -3.0703
Dy -0.2114 -3.5963 2.8517
Se 0.6063 -3.2625 0.1235
Dy 3.3547 -3.0074 0.9012
K -2.4676 -3.0881 -1.1197
Se -1.0291 -3.9302 5.5800
Se -4.1242 -1.3645 5.3248
Ge 2.2562 -0.5082 3.9715
```

Calculated values
Space group: R-3m, No. 166
Uncorrected formation energy, kJ/mol of atoms: -133.58

Entry 2:
Compound: K2DyGeSe4
Source: the Alexandria database
Functional: PBE
Structure: optimized geometry Values from VASP.

Geometry as Quantum ESPRESSO input:
```
&SYSTEM
  ibrav = 0, nat = 16, ntyp = 4
/
ATOMIC_SPECIES
Se 78.96 Se.upf
K 39.10 K.upf
Dy 162.50 Dy.upf
Ge 72.64 Ge.upf
CELL_PARAMETERS angstrom
-5.4002 1.1961 6.5819
-6.6851 -0.8597 -5.3371
6.0323 -6.1567 0.4116
ATOMIC_POSITIONS angstrom
Se -0.2564 -2.7813 0.3464
K 0.3160 -2.4803 3.4967
K -2.7001 0.5981 3.2909
Dy -5.7266 -2.3121 4.1191
Dy 2.6897 -6.5865 -2.2569
Se -0.2032 -6.3944 -2.2122
Ge -3.0265 -2.9101 0.8282
Se -5.8499 0.5742 3.8687
Se -2.8822 -2.5817 3.6249
K 3.0161 -3.0784 0.2058
Se -3.2495 -5.6381 1.4837
Se -2.8035 -0.1821 0.1727
Se -5.7967 -3.0389 1.3100
K -0.0104 -5.9885 1.0340
Ge -6.0531 -5.8202 1.6564
Se -3.1709 -3.2385 -1.9685
```

Calculated values
Space group: Imma, No. 74
Uncorrected formation energy, kJ/mol of atoms: -105.24

Entry 3:
Compound: KDyGeSe3
Source: the Alexandria database
Functional: PBE
Structure: optimized geometry Values from VASP.

Geometry as Quantum ESPRESSO input:
```
&SYSTEM
  ibrav = 0, nat = 12, ntyp = 4
/
ATOMIC_SPECIES
K 39.10 K.upf
Dy 162.50 Dy.upf
Se 78.96 Se.upf
Ge 72.64 Ge.upf
CELL_PARAMETERS angstrom
4.0546 0.0000 0.0000
0.0000 8.6372 -0.0459
0.0000 -3.4623 10.5109
ATOMIC_POSITIONS angstrom
K 3.0409 4.1107 7.5741
Dy 3.0409 0.1968 8.8581
Se 1.0136 -1.7713 8.1779
Se 1.0136 2.1336 9.3429
Dy 1.0136 4.9781 1.6069
K 1.0136 1.0642 2.8909
Se 3.0409 6.9462 2.2871
Se 3.0409 3.0413 1.1222
Ge 3.0409 6.0037 4.5886
Ge 1.0136 -0.8288 5.8764
Se 1.0136 4.2935 4.4283
Se 3.0409 0.8814 6.0367
```

Calculated values
Space group: P2_1/m, No. 11
Uncorrected formation energy, kJ/mol of atoms: -120.46

Entry 4:
Compound: KDyGeSe4
Source: the Alexandria database
Functional: PBE
Structure: optimized geometry Values from VASP.

Geometry as Quantum ESPRESSO input:
```
&SYSTEM
  ibrav = 0, nat = 14, ntyp = 4
/
ATOMIC_SPECIES
Se 78.96 Se.upf
Ge 72.64 Ge.upf
Dy 162.50 Dy.upf
K 39.10 K.upf
CELL_PARAMETERS angstrom
-0.1260 -4.9110 4.6603
6.6953 -1.5878 -1.4922
2.7458 7.6762 4.1519
ATOMIC_POSITIONS angstrom
Se 5.3567 4.5859 2.2447
Ge 3.4185 0.9551 6.0166
Dy 3.1619 2.7303 2.9760
Se 3.9584 -3.4085 5.0754
Dy 6.1533 -1.5529 4.3441
K 1.8034 -1.1583 1.0183
Se 3.8998 3.2349 5.7498
K 7.5118 2.3357 6.3017
Se 2.7418 0.0434 3.9502
Se 0.7312 -2.6431 5.7946
Se 5.4153 -2.0576 1.5702
Se 6.5733 1.1340 3.3698
Ge 5.8966 0.2223 1.3034
Se 8.5839 3.8205 1.5254
```

Calculated values
Space group: P2_1/m, No. 11
Uncorrected formation energy, kJ/mol of atoms: -107.15

Entry 5:
Compound: K4Dy3GeTe8
Source: the Alexandria database
Functional: PBE
Structure: optimized geometry Values from VASP.

Geometry as Quantum ESPRESSO input:
```
&SYSTEM
  ibrav = 0, nat = 16, ntyp = 4
/
ATOMIC_SPECIES
Dy 162.50 Dy.upf
K 39.10 K.upf
Te 127.60 Te.upf
Ge 72.64 Ge.upf
CELL_PARAMETERS angstrom
8.9151 0.0000 0.0000
0.0000 9.7248 0.5659
-4.4576 -4.4582 6.3065
ATOMIC_POSITIONS angstrom
Dy 4.4576 4.8624 0.2829
K 0.0000 0.0000 0.0000
Te 6.7367 2.7712 0.3449
K 2.2288 -2.2291 3.1532
Dy -2.2288 2.6333 3.4362
K 4.4576 0.0000 0.0000
Te 2.1785 2.7712 0.3449
Te 2.2791 2.4955 6.5274
Te 4.4576 4.7989 3.3911
Te 0.0000 4.7749 3.3039
Te 0.0000 0.4678 3.4812
Te -2.2791 2.4955 6.5274
Te 4.4576 0.4918 3.5685
Ge 0.0000 4.8624 0.2829
K -2.2288 -2.2291 3.1532
Dy 2.2288 2.6333 3.4362
```

Calculated values
Space group: R-3m, No. 166
Uncorrected formation energy, kJ/mol of atoms: -108.82

Entry 6:
Compound: La2DyGe2
Source: the Alexandria database
Functional: PBE
Structure: optimized geometry Values from VASP.

Geometry as Quantum ESPRESSO input:
```
&SYSTEM
  ibrav = 0, nat = 10, ntyp = 3
/
ATOMIC_SPECIES
La 138.91 La.upf
Ge 72.64 Ge.upf
Dy 162.50 Dy.upf
CELL_PARAMETERS angstrom
-1.2283 4.2310 -1.0877
-0.7132 -2.1284 -7.4736
-7.4782 -1.8520 1.2411
ATOMIC_POSITIONS angstrom
La -7.2645 -0.8491 -4.5654
Ge -5.2750 -3.0208 -5.7933
La -2.1552 1.0997 -2.7548
Dy -4.0957 -1.9902 -3.1163
La -5.7875 0.4926 -1.0146
Dy 0.0000 0.0000 0.0000
Ge -1.3528 -1.5483 -4.4947
Ge -2.9164 -0.9596 -0.4393
La -3.6323 -0.2420 -6.3057
Ge -6.8386 -2.4321 -1.7378
```

Calculated values
Energy above the lowest structure with this stoichiometry, eV per formula unit: 0.00
ΔH_f (0 K), eV per atom: -0.79
Space group: P4/mbm, No. 127

Entry 7:
Compound: La5DyGe4
Source: the Alexandria database
Functional: PBE
Structure: optimized geometry Values from VASP.

Geometry as Quantum ESPRESSO input:
```
&SYSTEM
  ibrav = 0, nat = 10, ntyp = 3
/
ATOMIC_SPECIES
Ge 72.64 Ge.upf
La 138.91 La.upf
Dy 162.50 Dy.upf
CELL_PARAMETERS angstrom
-1.2669 -0.0628 -5.0229
6.2556 -3.0173 -1.5401
-8.7413 -4.3275 4.9305
ATOMIC_POSITIONS angstrom
Ge 1.4217 -0.8337 -0.3482
Ge -3.2807 -1.8442 -1.8211
La -1.1060 -2.4249 0.3093
Ge -0.4718 -5.5634 0.1886
Dy -0.6334 -0.0314 -2.5114
La -2.6466 -4.9827 -1.9418
La 2.4944 -1.5401 -3.2815
La -5.8563 -3.4908 -1.1509
Ge -5.1742 -6.5739 -1.2843
La 2.1037 -3.9168 -0.4816
```

Calculated values
ΔH_f (0 K), eV per atom: -0.65
Space group: C2/m, No. 12

Entry 8:
Compound: La2Dy3Ge4
Source: the Alexandria database
Functional: PBE
Structure: optimized geometry Values from VASP.

Geometry as Quantum ESPRESSO input:
```
&SYSTEM
  ibrav = 0, nat = 18, ntyp = 3
/
ATOMIC_SPECIES
Ge 72.64 Ge.upf
Dy 162.50 Dy.upf
La 138.91 La.upf
CELL_PARAMETERS angstrom
7.7278 -0.0652 0.0000
-2.6018 7.5237 0.0000
0.0000 0.0000 7.9935
ATOMIC_POSITIONS angstrom
Ge 5.4013 3.6495 1.0544
Dy 1.2786 1.8421 5.3448
Dy -0.0165 5.6490 1.3481
La 0.0405 1.4584 1.4213
Dy 3.8474 5.6164 2.6487
Ge -1.2561 6.8807 3.6846
Dy 5.1426 1.8095 6.6454
Ge 2.5183 0.6104 7.6813
Ge 6.3822 0.5778 4.3089
Ge -0.2753 3.8090 6.9391
Dy -1.3009 3.7619 3.9967
La 5.0856 6.0001 6.5722
La 1.2217 6.0327 5.4181
Ge 3.5886 3.7764 5.0511
Ge 2.6078 6.8481 0.3122
Dy 2.5630 3.7293 0.0000
Ge 1.5374 3.6821 2.9424
La 3.9044 1.4258 2.5754
```

Calculated values
ΔH_f (0 K), eV per atom: -0.88
Space group: P2_1/c, No. 14

Entry 9:
Compound: LaDy2Ge
Source: the Alexandria database
Functional: PBE
Structure: optimized geometry Values from VASP.

Geometry as Quantum ESPRESSO input:
```
&SYSTEM
  ibrav = 0, nat = 4, ntyp = 3
/
ATOMIC_SPECIES
Ge 72.64 Ge.upf
Dy 162.50 Dy.upf
La 138.91 La.upf
CELL_PARAMETERS angstrom
-2.1930 -1.6374 -2.6008
-1.4267 -3.4388 0.6276
-9.2134 2.3925 3.5220
ATOMIC_POSITIONS angstrom
Ge 0.0000 0.0000 0.0000
Dy -2.7340 -0.9129 0.1396
Dy -10.0991 -1.7708 1.4092
La -6.4165 -1.3418 0.7744
```

Calculated values
Energy above the lowest structure with this stoichiometry, eV per formula unit: 0.31
ΔH_f (0 K), eV per atom: -0.25
Space group: R-3m, No. 166

Entry 10:
Compound: La2DyGe2
Source: the Alexandria database
Functional: PBE
Structure: optimized geometry Values from VASP.

Geometry as Quantum ESPRESSO input:
```
&SYSTEM
  ibrav = 0, nat = 10, ntyp = 3
/
ATOMIC_SPECIES
Dy 162.50 Dy.upf
Ge 72.64 Ge.upf
La 138.91 La.upf
CELL_PARAMETERS angstrom
4.4954 0.0000 0.0000
2.2477 6.3570 0.1256
2.2477 1.1547 9.8866
ATOMIC_POSITIONS angstrom
Dy 4.4954 6.5723 6.3818
Ge 2.2477 2.5763 4.3992
Ge 2.2477 5.6362 1.2030
Ge 6.7431 4.9354 5.6130
La 6.7431 5.7012 9.0924
Ge 6.7431 1.8756 8.8091
La 2.2477 1.8105 0.9197
La 4.4954 2.9717 6.8341
Dy 4.4954 0.9394 3.6304
La 4.4954 4.5400 3.1781
```

Calculated values
Energy above the lowest structure with this stoichiometry, eV per formula unit: 0.27
ΔH_f (0 K), eV per atom: -0.73
Space group: C2/m, No. 12

Entry 11:
Compound: LaDyGe3
Source: the Alexandria database
Functional: PBE
Structure: optimized geometry Values from VASP.

Geometry as Quantum ESPRESSO input:
```
&SYSTEM
  ibrav = 0, nat = 10, ntyp = 3
/
ATOMIC_SPECIES
Ge 72.64 Ge.upf
Dy 162.50 Dy.upf
La 138.91 La.upf
CELL_PARAMETERS angstrom
-0.7800 3.7809 1.1948
-2.1976 0.7078 -3.6745
-10.2716 -4.5908 7.8214
ATOMIC_POSITIONS angstrom
Ge -8.7098 -2.2276 4.7799
Dy -8.0310 -1.2113 2.0072
Ge -7.6877 0.1891 4.6342
Ge -10.9312 -3.0554 5.9491
La -11.3778 -0.4226 4.1607
La -1.8715 0.3205 1.1810
Ge -4.5395 2.1255 0.5618
Dy -5.2183 1.1092 3.3345
Ge -5.5615 -0.2911 0.7075
Ge -2.3180 2.9533 -0.6074
```

Calculated values
ΔH_f (0 K), eV per atom: -0.74
Space group: Cmcm, No. 63